BTePb2: optimized geometry, PBE-GGA.

Calculated values
The calculation puts the formation energy (no corrections) at 940 meV/atom. As for the total magnetic moment: 0.0 μB per formula unit.

Lattice parameters (Å, degrees): 7.4880 7.4880 7.4880 90.00 90.00 90.00
Last column: nearest neighbours and their distance in Å.
Space group Fm-3m (No. 225)
One atom of each set of equivalent atoms:
B (0.0000, 0.0000, 0.0000) x4  8 Pb 3.24
Te (0.0000, 0.0000, 0.5000) x4  8 Pb 3.24
Pb (0.2500, 0.2500, 0.2500) x8  4 Te 3.24, 4 B 3.24